Compound: K2MgNi
Source: the Alexandria database
Functional: SCAN
Structure: single point on PBEsol structure

a b c (Å): 4.285 5.788 6.257
angles (deg): 117.55 110.02 90.00
Positions (direct):
K: 0.773 0.273 0.545
K: 0.966 0.966 0.933
Ni: 0.190 0.690 0.380
Mg: 0.571 0.571 0.142

Values from the calculation:
**Energy relative to the elements**: 0.48 eV per atom
**Space-group type**: No. 44
**Size of the total moment**: 0.000 μB per atom
**VASP energy**: -8.970 eV/atom